PmSmEuTm after structural relaxation, computed with GGA-PBE.

- density (g/cm3) = 7.441
- N(E_F) (states/eV/f.u.) = 7.84
- calculated total energy (hartree per atom) = -0.2166

Cell: 5.794 5.794 5.794 Å, 60.00 60.00 60.00°
Site moments in Bohr magnetons follow the coordinates.
Fractional positions:
Eu 0.500 0.500 0.500  6.89
Tm 0.750 0.750 0.750  0.16
Sm 0.250 0.250 0.250  0.13
Pm 0.000 0.000 0.000  0.13

***

BeH2Os after structural relaxation, computed with GGA-PBE.

- density (g/cm3) = 11.177
- N(E_F) (states/eV/f.u.) = 1.24
- calculated total energy (hartree per atom) = -0.1850
- polymorph energy (0 for the lowest one) (meV per atom) = 0

Cell: 3.781 3.781 4.965 Å, 67.62 67.62 90.00°
Fractional positions:
Be 0.500 0.500 0.000
Be 0.250 0.750 0.500
Os 0.000 0.000 0.000
Os 0.750 0.250 0.500
H 0.588 0.125 0.250
H 0.162 0.625 0.250
H 0.375 0.412 0.750
H 0.875 0.838 0.750

***

Ba2ScTa after structural relaxation, computed with GGA-PBE.

- density (g/cm3) = 6.532
- N(E_F) (states/eV/f.u.) = 7.51
- calculated total energy (hartree per atom) = -0.1651
- polymorph energy (0 for the lowest one) (meV per atom) = 414

Cell: 5.464 3.386 7.679 Å, 63.61 90.00 90.00°
Fractional positions:
Ba 0.000 0.011 0.990
Ba 0.000 0.489 0.510
Sc 0.500 0.250 0.250
Ta 0.500 0.750 0.750

***

Sc8Cu2Tc after structural relaxation, computed with GGA-PBE.

- density (g/cm3) = 4.337
- N(E_F) (states/eV/f.u.) = 7.94
- calculated total energy (hartree per atom) = -0.2341
- polymorph energy (0 for the lowest one) (meV per atom) = 106

Cell: 4.770 7.776 7.567 Å, 120.94 108.37 90.00°
Fractional positions:
Sc 0.653 0.877 0.306
Sc 0.347 0.571 0.695
Sc 0.128 0.128 0.255
Sc 0.000 0.333 0.000
Sc 0.872 0.872 0.745
Sc 0.653 0.429 0.305
Sc 0.347 0.123 0.694
Sc 0.000 0.667 0.000
Cu 0.207 0.707 0.414
Cu 0.793 0.293 0.586
Tc 0.500 0.000 0.000

***

SbOsC3 after structural relaxation, computed with GGA-PBE.

- density (g/cm3) = 8.624
- N(E_F) (states/eV/f.u.) = 5.51
- calculated total energy (hartree per atom) = -0.2439
- polymorph energy (0 for the lowest one) (meV per atom) = 0

Cell: 4.062 4.062 4.062 Å, 90.00 90.00 90.00°
Fractional positions:
Sb 0.500 0.500 0.500
C 0.000 0.500 0.000
C 0.000 0.000 0.500
C 0.500 0.000 0.000
Os 0.000 0.000 0.000

***

Ca4Cd5Au6 after structural relaxation, computed with GGA-PBE.

- density (g/cm3) = 8.860
- N(E_F) (states/eV/f.u.) = 6.63
- calculated total energy (hartree per atom) = -0.0983

Cell: 4.222 11.452 15.021 Å, 90.00 90.00 100.62°
Fractional positions:
Ca 0.942 0.883 0.286
Ca 0.058 0.117 0.786
Ca 0.129 0.258 0.285
Ca 0.871 0.742 0.785
Ca 0.817 0.633 0.452
Ca 0.183 0.367 0.952
Ca 0.031 0.062 0.514
Ca 0.969 0.938 0.014
Cd 0.471 0.943 0.671
Cd 0.529 0.057 0.171
Cd 0.188 0.376 0.621
Cd 0.812 0.624 0.121
Cd 0.645 0.290 0.463
Cd 0.355 0.710 0.963
Cd 0.322 0.643 0.620
Cd 0.678 0.357 0.120
Cd 0.320 0.640 0.284
Cd 0.680 0.360 0.784
Au 0.731 0.462 0.291
Au 0.420 0.839 0.442
Au 0.774 0.548 0.934
Au 0.226 0.452 0.434
Au 0.464 0.927 0.861
Au 0.536 0.073 0.361
Au 0.404 0.807 0.140
Au 0.596 0.193 0.640
Au 0.093 0.186 0.091
Au 0.907 0.814 0.591
Au 0.580 0.161 0.942
Au 0.269 0.538 0.791

***

Hf2NbZn after structural relaxation, computed with GGA-PBE.

- density (g/cm3) = 10.706
- N(E_F) (states/eV/f.u.) = 2.99
- calculated total energy (hartree per atom) = -0.2852

Cell: 3.134 3.134 9.567 Å, 80.57 80.57 60.00°
Fractional positions:
Hf 0.082 0.082 0.754
Hf 0.252 0.252 0.245
Nb 0.500 0.500 0.501
Zn 0.667 0.667 0.999

***

Tl2InCoSb after structural relaxation, computed with GGA-PBE.

- density (g/cm3) = 9.058
- N(E_F) (states/eV/f.u.) = 5.59
- calculated total energy (hartree per atom) = -0.1260

Cell: 5.056 5.050 5.056 Å, 90.00 90.00 90.00°
Fractional positions:
Sb 0.500 0.500 0.500
Tl 0.000 0.000 0.500
Tl 0.500 0.000 0.000
Co 0.000 0.000 0.000
In 0.000 0.500 0.000

***

ScUPa2N6 after structural relaxation, computed with GGA-PBE.

- density (g/cm3) = 9.529
- N(E_F) (states/eV/f.u.) = 0.60
- calculated total energy (hartree per atom) = -0.3737

Cell: 5.872 5.872 5.908 Å, 60.20 60.20 60.00°
Site moments in Bohr magnetons follow the coordinates.
Fractional positions:
Sc 0.306 0.306 0.082  0.01
U 0.808 0.808 0.577  0.95
Pa 0.528 0.528 0.415  0.07
Pa 0.029 0.029 0.913  0.13
N 0.622 0.192 0.260  -0.02
N 0.192 0.926 0.260  -0.02
N 0.926 0.622 0.260  -0.02
N 0.428 0.698 0.750  -0.02
N 0.698 0.123 0.750  -0.02
N 0.123 0.428 0.750  -0.02

***

RbCe2NdTe4 after structural relaxation, computed with GGA-PBE.

- density (g/cm3) = 6.081
- N(E_F) (states/eV/f.u.) = 16.93
- calculated total energy (hartree per atom) = -0.1861

Cell: 4.656 14.925 7.819 Å, 30.85 90.00 90.00°
Site moments in Bohr magnetons follow the coordinates.
Fractional positions:
Rb 0.500 0.500 0.000  0.00
Ce 0.000 0.000 0.000  1.11
Ce 0.500 0.000 0.500  1.00
Nd 0.000 0.500 0.500  0.04
Te 0.000 0.767 0.734  -0.02
Te 0.000 0.233 0.266  -0.02
Te 0.500 0.757 0.228  -0.01
Te 0.500 0.243 0.772  -0.01

***

CaTlSiTeSeF after structural relaxation, computed with GGA-PBE.

- density (g/cm3) = 4.662
- calculated total energy (hartree per atom) = -0.1567
- polymorph energy (0 for the lowest one) (meV per atom) = 49

Cell: 4.785 4.765 8.140 Å, 74.60 89.90 82.75°
Fractional positions:
F 0.684 0.545 0.668
Ca 0.134 0.723 0.661
Si 0.642 0.176 0.672
Tl 0.715 0.439 0.144
Te 0.315 0.083 0.939
Se 0.293 0.301 0.448

***

Zr2MnPt after structural relaxation, computed with GGA-PBE.

- density (g/cm3) = 10.229
- N(E_F) (states/eV/f.u.) = 2.59
- calculated total energy (hartree per atom) = -0.3168
- polymorph energy (0 for the lowest one) (meV per atom) = 0

Cell: 3.253 3.285 7.352 Å, 63.35 90.00 90.00°
Fractional positions:
Mn 0.500 0.250 0.250
Zr 0.000 0.984 0.015
Zr 0.000 0.516 0.485
Pt 0.500 0.750 0.750

***

CaAcCuHg after structural relaxation, computed with GGA-PBE.

- density (g/cm3) = 7.822
- N(E_F) (states/eV/f.u.) = 3.71
- calculated total energy (hartree per atom) = -0.1069

Cell: 5.423 5.423 5.423 Å, 60.00 60.00 60.00°
Fractional positions:
Ac 0.500 0.500 0.500
Ca 0.000 0.000 0.000
Hg 0.750 0.750 0.750
Cu 0.250 0.250 0.250

***

Pm2PrAg2Ge2 after structural relaxation, computed with GGA-PBE.

- density (g/cm3) = 7.578
- N(E_F) (states/eV/f.u.) = 3.47
- calculated total energy (hartree per atom) = -0.1694

Cell: 4.609 4.609 9.803 Å, 76.40 76.40 60.00°
Fractional positions:
Pm 0.128 0.128 0.616
Pm 0.872 0.872 0.384
Pr 0.000 0.000 0.000
Ag 0.599 0.599 0.203
Ag 0.401 0.401 0.797
Ge 0.741 0.741 0.778
Ge 0.259 0.259 0.222

***

KRbAs2Br after structural relaxation, computed with GGA-PBE.

- density (g/cm3) = 2.334
- N(E_F) (states/eV/f.u.) = 2.70
- calculated total energy (hartree per atom) = -0.0884
- polymorph energy (0 for the lowest one) (meV per atom) = 0

Cell: 6.382 6.382 6.188 Å, 90.00 90.00 90.00°
Site moments in Bohr magnetons follow the coordinates.
Fractional positions:
K 0.000 0.000 0.000  0.04
As 0.000 0.500 0.000  1.01
As 0.500 0.000 0.000  1.01
Br 0.000 0.000 0.500  0.10
Rb 0.500 0.500 0.500  0.01